Record 1
A relaxed LaN2OF crystal. Source: Alexandria, functional GGA-PBE.

a b c (Å): 4.9633 4.9633 4.5815
angles (deg): 90.00 90.00 90.00
Sites, in units of the cell vectors:
La1 0.0000 0.0000 0.0000
N1 0.0000 0.5000 0.0000
N2 0.5000 0.0000 0.0000
O1 0.5000 0.5000 0.5000
F1 0.0000 0.0000 0.5000

Results
Uncorrected energy = -5.22 eV per atom


Record 2
A relaxed TaCd2Ru crystal. Source: Alexandria, functional GGA-PBE.

a b c (Å): 6.0629 6.0629 6.0629
angles (deg): 100.96 100.96 128.30
Sites, in units of the cell vectors:
Ta1 0.0000 0.0000 0.0000
Ta2 0.7500 0.2500 0.5000
Cd1 0.1444 0.6250 0.0194
Cd2 0.3750 0.3944 0.5194
Cd3 0.6056 0.1250 0.9806
Cd4 0.8750 0.8556 0.4806
Ru1 0.2500 0.7500 0.5000
Ru2 0.5000 0.5000 0.0000

Results
Calculated formation energy = 829.4 meV/atom


Record 3
A relaxed DyScZn4 crystal. Source: Alexandria, functional GGA-PBE.

a b c (Å): 5.5363 5.5363 5.5363
angles (deg): 133.14 103.27 94.97
Sites, in units of the cell vectors:
Dy1 0.0000 0.0000 0.0000
Sc1 0.4427 0.9427 0.5000
Zn1 0.0059 0.2984 0.7075
Zn2 0.4238 0.6292 0.7946
Zn3 0.5909 0.2984 0.2925
Zn4 0.8346 0.6292 0.2054

Results
Calculated formation energy = -363.4 meV/atom


Record 4
A relaxed PaCuI6 crystal. Source: Alexandria, functional GGA-PBE.

a b c (Å): 7.9644 7.9644 7.6166
angles (deg): 102.09 102.09 123.04
Sites, in units of the cell vectors:
Pa1 0.0000 0.0000 0.0000
Cu1 0.5000 0.5000 0.5000
I1 0.1196 0.4149 0.2649
I2 0.2251 0.2251 0.7731
I3 0.4149 0.1196 0.2649
I4 0.5851 0.8804 0.7351
I5 0.7749 0.7749 0.2269
I6 0.8804 0.5851 0.7351

Results
Uncorrected energy = -3.54 eV per atom


Record 5
A relaxed CdTe2Ir crystal. Source: Alexandria, functional GGA-PBE.

a b c (Å): 6.7348 6.7348 6.7348
angles (deg): 147.26 139.82 52.75
Sites, in units of the cell vectors:
Cd1 0.0000 0.0000 0.0000
Te1 0.3442 0.8442 0.5000
Te2 0.6558 0.1558 0.5000
Ir1 0.5000 0.5000 0.0000

Results
Uncorrected energy = -4.05 eV per atom


Record 6
A relaxed K2CoAu crystal. Source: Alexandria, functional GGA-PBE.

a b c (Å): 9.4764 9.4764 9.4764
angles (deg): 132.72 132.72 69.09
Sites, in units of the cell vectors:
K1 0.1113 0.6250 0.9863
K2 0.3750 0.3613 0.4863
K3 0.6387 0.1250 0.0137
K4 0.8750 0.8887 0.5137
Co1 0.2500 0.7500 0.5000
Co2 0.5000 0.5000 0.0000
Au1 0.0000 0.0000 0.0000
Au2 0.7500 0.2500 0.5000

Results
Calculated formation energy = 836.0 meV/atom